Eu2Ho4H: relaxed, PBE.

Cell: 4.9208 4.9208 9.4220 Å, 74.86 74.86 90.00°
Closest atoms and distances in Å follow each position.
Fractional coordinates of all 7 atoms:
Eu  0.3405  0.3405  0.3190  9 Ho 3.50-3.72
Eu  0.6595  0.6595  0.6810  9 Ho 3.50-3.72
Ho  0.0000  0.5000  0.0000  2 H 2.46
Ho  0.8617  0.8617  0.2765  1 H 2.42
Ho  0.1383  0.1383  0.7235  1 H 2.42
Ho  0.5000  0.0000  0.0000  2 H 2.46
H  0.0000  0.0000  0.0000  6 Ho 2.42-2.46

Computed properties:
**DFT total energy**: -5.93 eV per atom
**Spin magnetization**: 2.142 μB per atom
**Volume**: 212.02 Å³/f.u.

Na3YBr6: relaxed, PBE.

Cell: 7.7731 7.3024 13.0541 Å, 123.38 90.00 90.00°
Closest atoms and distances in Å follow each position.
Fractional coordinates of all 20 atoms:
Br  0.3042  0.7480  0.9181  1 Y 2.82, 2 Na 2.98-3.10
Br  0.1958  0.7480  0.4181  1 Y 2.82, 2 Na 2.98-3.10
Br  0.8042  0.2520  0.5819  1 Y 2.82, 2 Na 2.98-3.10
Br  0.8191  0.6190  0.9333  1 Y 2.79, 2 Na 2.91-3.01
Br  0.9353  0.9071  0.7625  1 Y 2.83, 3 Na 3.03-3.10
Br  0.3191  0.3810  0.5667  1 Y 2.79, 2 Na 2.91-3.01
Br  0.6809  0.6190  0.4333  1 Y 2.79, 2 Na 2.91-3.01
Br  0.5647  0.9071  0.2625  1 Y 2.83, 3 Na 3.03-3.10
Br  0.4353  0.0929  0.7375  1 Y 2.83, 3 Na 3.03-3.10
Br  0.6958  0.2520  0.0819  1 Y 2.82, 2 Na 2.98-3.10
Br  0.1809  0.3810  0.0667  1 Y 2.79, 2 Na 2.91-3.01
Br  0.0647  0.0929  0.2375  1 Y 2.83, 3 Na 3.03-3.10
Na  0.9158  0.7070  0.2379  5 Br 3.01-3.27
Na  0.0842  0.2930  0.7621  5 Br 3.01-3.27
Na  0.5842  0.7070  0.7379  5 Br 3.01-3.27
Na  0.0000  0.5000  0.5000  6 Br 2.91-3.10
Na  0.4158  0.2930  0.2621  5 Br 3.01-3.27
Na  0.5000  0.5000  0.0000  6 Br 2.91-3.10
Y  0.0000  0.0000  0.0000  6 Br 2.79-2.83
Y  0.5000  0.0000  0.5000  6 Br 2.79-2.83

Computed properties:
**DFT total energy**: -3.72 eV per atom
**Spin magnetization**: 0.000 μB per atom
**Volume**: 309.39 Å³/f.u.
**E_form (uncorrected)**: -1677 meV/atom

Te2IrPt2: relaxed, PBE.

Cell: 5.1029 5.1029 4.8727 Å, 90.00 90.00 90.00°
Closest atoms and distances in Å follow each position.
Fractional coordinates of all 5 atoms:
Ir  0.0000  0.0000  0.0000  2 Pt 2.44, 4 Te 2.55
Te  0.5000  0.0000  0.0000  2 Ir 2.55
Te  0.0000  0.5000  0.0000  2 Ir 2.55
Pt  0.0000  0.0000  0.5000  2 Ir 2.44
Pt  0.5000  0.5000  0.5000  8 Te 3.53, 4 Pt 3.61

Computed properties:
**DFT total energy**: -4.37 eV per atom
**Spin magnetization**: 0.000 μB per atom
**Volume**: 126.88 Å³/f.u.
**E_form (uncorrected)**: 1070 meV/atom

Tb3Dy3Sc2: relaxed, PBE.

Cell: 5.4422 5.6313 8.7979 Å, 108.94 108.02 90.00°
Closest atoms and distances in Å follow each position.
Fractional coordinates of all 8 atoms:
Dy  0.0000  0.0000  0.0000  4 Dy 3.38-3.75, 4 Tb 3.50
Dy  0.1388  0.6818  0.2777  4 Sc 3.24-3.39, 1 Dy 3.38, 5 Tb 3.49-3.58
Dy  0.8612  0.3182  0.7223  4 Sc 3.24-3.39, 1 Dy 3.38, 5 Tb 3.49-3.58
Sc  0.2501  0.3097  0.5002  4 Tb 3.23-3.39, 4 Dy 3.24-3.39, 2 Sc 3.46
Sc  0.7499  0.6903  0.4998  4 Tb 3.23-3.39, 4 Dy 3.24-3.39, 2 Sc 3.46
Tb  0.3608  0.9059  0.7217  4 Sc 3.23-3.39, 1 Tb 3.36, 5 Dy 3.49-3.58
Tb  0.6392  0.0941  0.2783  4 Sc 3.23-3.39, 1 Tb 3.36, 5 Dy 3.49-3.58
Tb  0.5000  0.5000  0.0000  2 Tb 3.36, 4 Dy 3.50

Computed properties:
**Energy above the most stable polymorph in this dataset**: 0.046 eV/atom
**DFT total energy**: -4.96 eV per atom
**ΔH_f (0 K)**: 0.09 eV/atom
**Spin magnetization**: 0.000 μB per atom
**Volume**: 241.00 Å³/f.u.

ReTePt3: relaxed, PBE.

Cell: 4.9075 4.9075 4.9075 Å, 90.00 90.00 90.00°
Closest atoms and distances in Å follow each position.
Fractional coordinates of all 5 atoms:
Pt  0.0000  0.0000  0.5000  2 Te 2.45
Pt  0.5000  0.0000  0.0000  2 Te 2.45
Pt  0.0000  0.5000  0.0000  2 Te 2.45
Re  0.5000  0.5000  0.5000  12 Pt 3.47
Te  0.0000  0.0000  0.0000  6 Pt 2.45

Computed properties:
**Energy above the most stable polymorph in this dataset**: 0.449 eV/atom
**DFT total energy**: -5.16 eV per atom
**Spin magnetization**: 0.893 μB per atom
**Volume**: 118.19 Å³/f.u.
**E_form (uncorrected)**: 1579 meV/atom

Cr2FeRe: relaxed, PBE.

Cell: 4.4936 4.4936 2.6328 Å, 90.00 90.00 108.78°
Closest atoms and distances in Å follow each position.
Fractional coordinates of all 4 atoms:
Cr  0.0000  0.0000  0.0000  4 Re 2.60, 4 Fe 2.60, 4 Cr 2.62-2.63
Cr  0.5000  0.5000  0.0000  4 Fe 2.60, 4 Re 2.60, 4 Cr 2.62-2.63
Re  0.0000  0.5000  0.5000  8 Cr 2.60, 2 Fe 2.62, 2 Re 2.63
Fe  0.5000  0.0000  0.5000  8 Cr 2.60, 2 Re 2.62, 2 Fe 2.63

Computed properties:
**Energy above the most stable polymorph in this dataset**: 0.130 eV/atom
**DFT total energy**: -9.83 eV per atom
**ΔH_f (0 K)**: 0.21 eV/atom
**Spin magnetization**: 0.165 μB per atom
**Volume**: 50.33 Å³/f.u.

LaSm7Dy4: relaxed, PBE.

Cell: 7.2813 9.6342 8.9838 Å, 81.12 90.02 40.92°
Closest atoms and distances in Å follow each position.
Fractional coordinates of all 12 atoms:
La  0.0000  0.0000  0.0000  2 Dy 3.61, 10 Sm 3.61-3.65
Sm  0.2468  0.5001  0.9996  3 Dy 3.59-3.60, 7 Sm 3.60-3.69, 2 La 3.65
Sm  0.7532  0.4999  0.0004  3 Dy 3.59-3.60, 7 Sm 3.60-3.69, 2 La 3.65
Sm  0.7778  0.2227  0.3352  6 Sm 3.57-3.66, 5 Dy 3.58-3.66, 1 La 3.61
Sm  0.9725  0.2797  0.6640  6 Dy 3.55-3.68, 5 Sm 3.57-3.66, 1 La 3.62
Sm  0.2222  0.7773  0.6648  6 Sm 3.57-3.66, 5 Dy 3.58-3.66, 1 La 3.61
Sm  0.5000  0.0000  0.0000  4 Dy 3.59, 6 Sm 3.60-3.63, 2 La 3.64
Sm  0.0275  0.7203  0.3360  6 Dy 3.55-3.68, 5 Sm 3.57-3.66, 1 La 3.62
Dy  0.5321  0.7212  0.3346  8 Sm 3.55-3.68, 3 Dy 3.56-3.64, 1 La 3.61
Dy  0.7186  0.7811  0.6652  4 Dy 3.55-3.64, 8 Sm 3.56-3.64
Dy  0.4679  0.2788  0.6654  8 Sm 3.55-3.68, 3 Dy 3.56-3.64, 1 La 3.61
Dy  0.2814  0.2189  0.3348  4 Dy 3.55-3.64, 8 Sm 3.56-3.64

Computed properties:
**Energy above the most stable polymorph in this dataset**: 0.000 eV/atom
**DFT total energy**: -4.69 eV per atom
**ΔH_f (0 K)**: 0.00 eV/atom
**Spin magnetization**: 0.000 μB per atom
**Volume**: 401.09 Å³/f.u.

ZnSiP2: relaxed, PBE.

Cell: 4.3899 4.3899 4.3899 Å, 60.00 60.00 60.00°
Closest atoms and distances in Å follow each position.
Fractional coordinates of all 4 atoms:
Zn  0.5000  0.5000  0.5000  8 P 2.69
P  0.2500  0.2500  0.2500  4 Si 2.69, 4 Zn 2.69
P  0.7500  0.7500  0.7500  4 Si 2.69, 4 Zn 2.69
Si  0.0000  0.0000  0.0000  8 P 2.69

Computed properties:
**Energy above the most stable polymorph in this dataset**: 0.802 eV/atom
**DFT total energy**: -3.89 eV per atom
**Spin magnetization**: 0.000 μB per atom
**Volume**: 59.82 Å³/f.u.
**E_form (uncorrected)**: 491 meV/atom

Hg2MoW: relaxed, PBE.

Cell: 2.8091 2.8091 9.5021 Å, 90.00 90.00 103.57°
Closest atoms and distances in Å follow each position.
Fractional coordinates of all 4 atoms:
Mo  0.5000  0.5000  0.2500  4 Mo 2.81, 4 Hg 2.93
Hg  0.0000  0.0000  0.4987  4 Hg 2.81, 2 Mo 2.93, 2 W 2.95
Hg  0.0000  0.0000  0.0013  4 Hg 2.81, 2 Mo 2.93, 2 W 2.95
W  0.5000  0.5000  0.7500  4 W 2.81, 4 Hg 2.95

Computed properties:
**Energy above the most stable polymorph in this dataset**: 0.343 eV/atom
**DFT total energy**: -5.31 eV per atom
**ΔH_f (0 K)**: 0.79 eV/atom
**Spin magnetization**: 0.000 μB per atom
**Volume**: 72.89 Å³/f.u.

HfZn2Pd: relaxed, PBE.

Cell: 4.5296 4.5296 4.5311 Å, 88.57 120.83 120.82°
Closest atoms and distances in Å follow each position.
Fractional coordinates of all 4 atoms:
Pd  0.1250  0.3125  0.4375  4 Hf 2.76, 4 Zn 2.76
Hf  0.6251  0.5625  0.1876  4 Pd 2.76, 4 Zn 2.76
Zn  0.6252  0.0625  0.6876  4 Zn 2.76, 4 Pd 2.76
Zn  0.1248  0.8125  0.9373  4 Zn 2.76, 4 Hf 2.76

Computed properties:
**DFT total energy**: -4.84 eV per atom
**ΔH_f (0 K)**: -0.42 eV/atom
**Spin magnetization**: 0.000 μB per atom
**Volume**: 64.90 Å³/f.u.

PtW2I: relaxed, PBE.

Cell: 5.9098 5.9098 7.2281 Å, 65.87 65.87 90.00°
Closest atoms and distances in Å follow each position.
Fractional coordinates of all 8 atoms:
Pt  0.0000  0.0000  0.0000  4 W 2.44
Pt  0.7500  0.2500  0.5000  4 W 2.44
W  0.3750  0.3398  0.7500  2 Pt 2.44, 2 I 2.68
W  0.0898  0.6250  0.2500  2 Pt 2.44, 2 I 2.68
W  0.6602  0.1250  0.2500  2 Pt 2.44, 2 I 2.68
W  0.8750  0.9102  0.7500  2 Pt 2.44, 2 I 2.68
I  0.2500  0.7500  0.5000  4 W 2.68
I  0.5000  0.5000  0.0000  4 W 2.68

Computed properties:
**Energy above the most stable polymorph in this dataset**: 0.626 eV/atom
**DFT total energy**: -6.85 eV per atom
**Spin magnetization**: 0.000 μB per atom
**Volume**: 102.99 Å³/f.u.
**E_form (uncorrected)**: 1526 meV/atom

TlHg2Ru: relaxed, PBE.

Cell: 4.1050 4.1050 10.9444 Å, 79.19 79.19 90.00°
Closest atoms and distances in Å follow each position.
Fractional coordinates of all 8 atoms:
Tl  0.7500  0.2500  0.5000  4 Ru 2.90, 4 Hg 3.04
Tl  0.0000  0.0000  0.0000  4 Ru 2.90, 4 Hg 3.04
Ru  0.5000  0.5000  0.0000  4 Tl 2.90, 4 Hg 2.99
Ru  0.2500  0.7500  0.5000  4 Tl 2.90, 4 Hg 2.99
Hg  0.6070  0.1250  0.2500  4 Hg 2.80-3.01, 2 Ru 2.99, 2 Tl 3.04
Hg  0.3750  0.3930  0.7500  4 Hg 2.80-3.01, 2 Ru 2.99, 2 Tl 3.04
Hg  0.1430  0.6250  0.2500  4 Hg 2.80-3.01, 2 Ru 2.99, 2 Tl 3.04
Hg  0.8750  0.8570  0.7500  4 Hg 2.80-3.01, 2 Ru 2.99, 2 Tl 3.04

Computed properties:
**Energy above the most stable polymorph in this dataset**: 0.264 eV/atom
**DFT total energy**: -2.46 eV per atom
**ΔH_f (0 K)**: 0.60 eV/atom
**Spin magnetization**: 0.000 μB per atom
**Volume**: 88.91 Å³/f.u.

Please write out number 6 again, unchanged.
Cr2FeRe: relaxed, PBE.

Cell: 4.4936 4.4936 2.6328 Å, 90.00 90.00 108.78°
Closest atoms and distances in Å follow each position.
Fractional coordinates of all 4 atoms:
Cr  0.0000  0.0000  0.0000  4 Re 2.60, 4 Fe 2.60, 4 Cr 2.62-2.63
Cr  0.5000  0.5000  0.0000  4 Fe 2.60, 4 Re 2.60, 4 Cr 2.62-2.63
Re  0.0000  0.5000  0.5000  8 Cr 2.60, 2 Fe 2.62, 2 Re 2.63
Fe  0.5000  0.0000  0.5000  8 Cr 2.60, 2 Re 2.62, 2 Fe 2.63

Computed properties:
**Energy above the most stable polymorph in this dataset**: 0.130 eV/atom
**DFT total energy**: -9.83 eV per atom
**ΔH_f (0 K)**: 0.21 eV/atom
**Spin magnetization**: 0.165 μB per atom
**Volume**: 50.33 Å³/f.u.

Among the records above, which one has the highest DFT total energy? TlHg2Ru

Among the records above, which one has the highest volume? LaSm7Dy4

The lowest volume belongs to which entry? Cr2FeRe